[1]
The following is a DFT calculation (SCAN) of TaMoBr2 at its PBEsol-relaxed geometry.

Energy relative to the lowest polymorph listed for this composition   213 meV/atom

CIF file:
```
data_TaMoBr2
_chemical_formula_sum 'Ta2 Mo2 Br4'
_space_group_name_H-M_alt 'C 1 m 1'
_space_group_IT_number 8
_space_group_name_Hall 'C -2y'
_cell_length_a 9.1491
_cell_length_b 3.1779
_cell_length_c 6.7559
_cell_angle_alpha 90.00
_cell_angle_beta 94.59
_cell_angle_gamma 90.00
loop_
_atom_site_label
_atom_site_fract_x
_atom_site_fract_y
_atom_site_fract_z
Ta1 0.0000 0.0000 0.0000
Mo1 0.2210 0.5000 0.9573
Br1 0.0972 0.5000 0.2870
Br2 0.3535 0.0000 0.6954
```

[2]
The following is a DFT calculation (SCAN) of TaMo2Br at its PBEsol-relaxed geometry.

CIF file:
```
data_TaMo2Br
_chemical_formula_sum 'Ta1 Mo2 Br1'
_space_group_name_H-M_alt 'P m m m'
_space_group_IT_number 47
_space_group_name_Hall '-P 2 2'
_cell_length_a 3.1490
_cell_length_b 3.1907
_cell_length_c 7.4024
_cell_angle_alpha 90.00
_cell_angle_beta 90.00
_cell_angle_gamma 90.00
loop_
_atom_site_label
_atom_site_fract_x
_atom_site_fract_y
_atom_site_fract_z
Ta1 0.0000 0.0000 0.0000
Mo1 0.5000 0.5000 0.2041
Br1 0.0000 0.5000 0.5000
```

[3]
The following is a DFT calculation (SCAN) of Ta2MoBr at its PBEsol-relaxed geometry.

Energy relative to the lowest polymorph listed for this composition   0 meV/atom

CIF file:
```
data_Ta2MoBr
_chemical_formula_sum 'Ta2 Mo1 Br1'
_space_group_name_H-M_alt 'P 4 m m'
_space_group_IT_number 99
_space_group_name_Hall 'P 4 -2'
_cell_length_a 3.1905
_cell_length_b 3.1905
_cell_length_c 7.1843
_cell_angle_alpha 90.00
_cell_angle_beta 90.00
_cell_angle_gamma 90.00
loop_
_atom_site_label
_atom_site_fract_x
_atom_site_fract_y
_atom_site_fract_z
Ta1 0.0000 0.0000 0.0000
Ta2 0.5000 0.5000 0.2309
Mo1 0.5000 0.5000 0.8051
Br1 0.0000 0.0000 0.5086
```

[4]
The following is a DFT calculation (SCAN) of TaMoBr at its PBEsol-relaxed geometry.

Energy relative to the lowest polymorph listed for this composition   0 meV/atom

CIF file:
```
data_TaMoBr
_chemical_formula_sum 'Ta1 Mo1 Br1'
_space_group_name_H-M_alt 'P 3 m 1'
_space_group_IT_number 156
_space_group_name_Hall 'P 3 -2"'
_cell_length_a 2.9621
_cell_length_b 2.9621
_cell_length_c 6.7735
_cell_angle_alpha 90.00
_cell_angle_beta 90.00
_cell_angle_gamma 120.00
loop_
_atom_site_label
_atom_site_fract_x
_atom_site_fract_y
_atom_site_fract_z
Ta1 0.0000 0.0000 0.0000
Mo1 0.6667 0.3333 0.3485
Br1 0.3333 0.6667 0.6821
```

[5]
The following is a DFT calculation (SCAN) of Ta2MoBr at its PBEsol-relaxed geometry.

Energy relative to the lowest polymorph listed for this composition   218 meV/atom

CIF file:
```
data_Ta2MoBr
_chemical_formula_sum 'Ta4 Mo2 Br2'
_space_group_name_H-M_alt 'I m m 2'
_space_group_IT_number 44
_space_group_name_Hall 'I 2 -2'
_cell_length_a 3.1695
_cell_length_b 4.4454
_cell_length_c 9.6694
_cell_angle_alpha 90.00
_cell_angle_beta 90.00
_cell_angle_gamma 90.00
loop_
_atom_site_label
_atom_site_fract_x
_atom_site_fract_y
_atom_site_fract_z
Ta1 0.0000 0.0000 0.0000
Ta2 0.0000 0.5000 0.2387
Mo1 0.0000 0.0000 0.5017
Br1 0.0000 0.5000 0.7813
```

[6]
The following is a DFT calculation (SCAN) of TaMoBr2 at its PBEsol-relaxed geometry.

Energy relative to the lowest polymorph listed for this composition   0 meV/atom

CIF file:
```
data_TaMoBr2
_chemical_formula_sum 'Ta1 Mo1 Br2'
_space_group_name_H-M_alt 'P 4 m m'
_space_group_IT_number 99
_space_group_name_Hall 'P 4 -2'
_cell_length_a 3.0501
_cell_length_b 3.0501
_cell_length_c 8.4469
_cell_angle_alpha 90.00
_cell_angle_beta 90.00
_cell_angle_gamma 90.00
loop_
_atom_site_label
_atom_site_fract_x
_atom_site_fract_y
_atom_site_fract_z
Ta1 0.0000 0.0000 0.0000
Mo1 0.5000 0.5000 0.7655
Br1 0.0000 0.0000 0.5796
Br2 0.5000 0.5000 0.2037
```

[7]
The following is a DFT calculation (SCAN) of Ta2TlMoBr at its PBEsol-relaxed geometry.

CIF file:
```
data_Ta2TlMoBr
_chemical_formula_sum 'Ta2 Tl1 Mo1 Br1'
_space_group_name_H-M_alt 'P 4/m m m'
_space_group_IT_number 123
_space_group_name_Hall '-P 4 2'
_cell_length_a 4.9046
_cell_length_b 4.9046
_cell_length_c 4.8588
_cell_angle_alpha 90.00
_cell_angle_beta 90.00
_cell_angle_gamma 90.00
loop_
_atom_site_label
_atom_site_fract_x
_atom_site_fract_y
_atom_site_fract_z
Ta1 0.0000 0.5000 0.0000
Tl1 0.0000 0.0000 0.5000
Mo1 0.5000 0.5000 0.0000
Br1 0.5000 0.5000 0.5000
```

[8]
The following is a DFT calculation (SCAN) of TcMo2Br at its PBEsol-relaxed geometry.

Energy relative to the lowest polymorph listed for this composition   200 meV/atom

CIF file:
```
data_TcMo2Br
_chemical_formula_sum 'Tc2 Mo4 Br2'
_space_group_name_H-M_alt 'C 1 m 1'
_space_group_IT_number 8
_space_group_name_Hall 'C -2y'
_cell_length_a 9.6266
_cell_length_b 2.9787
_cell_length_c 4.4326
_cell_angle_alpha 90.00
_cell_angle_beta 93.00
_cell_angle_gamma 90.00
loop_
_atom_site_label
_atom_site_fract_x
_atom_site_fract_y
_atom_site_fract_z
Tc1 0.0000 0.0000 0.0000
Mo1 0.2290 0.5000 0.1947
Mo2 0.4501 0.0000 0.4412
Br1 0.2207 0.0000 0.7042
```

[9]
The following is a DFT calculation (SCAN) of Tc2MoBr at its PBEsol-relaxed geometry.

Energy relative to the lowest polymorph listed for this composition   69 meV/atom

CIF file:
```
data_Tc2MoBr
_chemical_formula_sum 'Tc2 Mo1 Br1'
_space_group_name_H-M_alt 'P 1 2/m 1'
_space_group_IT_number 10
_space_group_name_Hall '-P 2y'
_cell_length_a 2.9200
_cell_length_b 4.0854
_cell_length_c 5.3064
_cell_angle_alpha 90.00
_cell_angle_beta 104.50
_cell_angle_gamma 90.00
loop_
_atom_site_label
_atom_site_fract_x
_atom_site_fract_y
_atom_site_fract_z
Tc1 0.1252 0.0000 0.2370
Mo1 0.5000 0.5000 0.0000
Br1 0.5000 0.5000 0.5000
```

[10]
The following is a DFT calculation (SCAN) of Tc2MoBr at its PBEsol-relaxed geometry.

Energy relative to the lowest polymorph listed for this composition   0 meV/atom

CIF file:
```
data_Tc2MoBr
_chemical_formula_sum 'Tc4 Mo2 Br2'
_space_group_name_H-M_alt 'C m m m'
_space_group_IT_number 65
_space_group_name_Hall '-C 2 2'
_cell_length_a 3.0733
_cell_length_b 4.7828
_cell_length_c 8.6853
_cell_angle_alpha 90.00
_cell_angle_beta 90.00
_cell_angle_gamma 90.00
loop_
_atom_site_label
_atom_site_fract_x
_atom_site_fract_y
_atom_site_fract_z
Tc1 0.0000 0.0000 0.2314
Mo1 0.0000 0.5000 0.0000
Br1 0.0000 0.5000 0.5000
```

[11]
The following is a DFT calculation (SCAN) of TcMoBr2 at its PBEsol-relaxed geometry.

CIF file:
```
data_TcMoBr2
_chemical_formula_sum 'Tc1 Mo1 Br2'
_space_group_name_H-M_alt 'P m m m'
_space_group_IT_number 47
_space_group_name_Hall '-P 2 2'
_cell_length_a 2.9699
_cell_length_b 4.3654
_cell_length_c 5.4792
_cell_angle_alpha 90.00
_cell_angle_beta 90.00
_cell_angle_gamma 90.00
loop_
_atom_site_label
_atom_site_fract_x
_atom_site_fract_y
_atom_site_fract_z
Tc1 0.0000 0.0000 0.0000
Mo1 0.5000 0.0000 0.5000
Br1 0.0000 0.5000 0.5000
Br2 0.5000 0.5000 0.0000
```

[12]
The following is a DFT calculation (SCAN) of TcMo2Br at its PBEsol-relaxed geometry.

Energy relative to the lowest polymorph listed for this composition   0 meV/atom

CIF file:
```
data_TcMo2Br
_chemical_formula_sum 'Tc3 Mo6 Br3'
_space_group_name_H-M_alt 'R -3 m'
_space_group_IT_number 166
_space_group_name_Hall '-R 3 2"'
_cell_length_a 2.8995
_cell_length_b 2.8995
_cell_length_c 25.7058
_cell_angle_alpha 90.00
_cell_angle_beta 90.00
_cell_angle_gamma 120.00
loop_
_atom_site_label
_atom_site_fract_x
_atom_site_fract_y
_atom_site_fract_z
Tc1 0.0000 0.0000 0.0000
Mo1 0.0000 0.0000 0.2515
Br1 0.0000 0.0000 0.5000
```

[13]
The following is a DFT calculation (SCAN) of TcMo2Br at its PBEsol-relaxed geometry.

Energy relative to the lowest polymorph listed for this composition   287 meV/atom

CIF file:
```
data_TcMo2Br
_chemical_formula_sum 'Tc1 Mo2 Br1'
_space_group_name_H-M_alt 'P 4/m m m'
_space_group_IT_number 123
_space_group_name_Hall '-P 4 2'
_cell_length_a 4.5694
_cell_length_b 4.5694
_cell_length_c 2.9097
_cell_angle_alpha 90.00
_cell_angle_beta 90.00
_cell_angle_gamma 90.00
loop_
_atom_site_label
_atom_site_fract_x
_atom_site_fract_y
_atom_site_fract_z
Tc1 0.0000 0.0000 0.0000
Mo1 0.0000 0.5000 0.5000
Br1 0.5000 0.5000 0.0000
```

[14]
The following is a DFT calculation (SCAN) of TeMoBr4 at its PBEsol-relaxed geometry.

CIF file:
```
data_TeMoBr4
_chemical_formula_sum 'Te4 Mo4 Br16'
_space_group_name_H-M_alt 'F -4 3 m'
_space_group_IT_number 216
_space_group_name_Hall 'F -4 2 3'
_cell_length_a 8.4805
_cell_length_b 8.4805
_cell_length_c 8.4805
_cell_angle_alpha 90.00
_cell_angle_beta 90.00
_cell_angle_gamma 90.00
loop_
_atom_site_label
_atom_site_fract_x
_atom_site_fract_y
_atom_site_fract_z
Te1 0.0000 0.0000 0.0000
Mo1 0.2500 0.2500 0.7500
Br1 0.1243 0.1243 0.3757
```

[15]
The following is a DFT calculation (SCAN) of Te3MoBr at its PBEsol-relaxed geometry.

CIF file:
```
data_Te3MoBr
_chemical_formula_sum 'Te3 Mo1 Br1'
_space_group_name_H-M_alt 'P m -3 m'
_space_group_IT_number 221
_space_group_name_Hall '-P 4 2 3'
_cell_length_a 5.2151
_cell_length_b 5.2151
_cell_length_c 5.2151
_cell_angle_alpha 90.00
_cell_angle_beta 90.00
_cell_angle_gamma 90.00
loop_
_atom_site_label
_atom_site_fract_x
_atom_site_fract_y
_atom_site_fract_z
Te1 0.0000 0.0000 0.5000
Mo1 0.0000 0.0000 0.0000
Br1 0.5000 0.5000 0.5000
```

Short version: total DFT energy (no corrections) = -34.751 -38.562 -46.464 -39.683 -46.246 -34.964 -50.497 -30.312 -30.346 -30.415 -26.138 -30.512 -30.226 -23.909 -32.919 eV/atom, in the order given.
Short version: energy relative to the elements, uncorrected = 1.38 1.57 1.66 1.88 2.53 0.53 7.38 3.04 3.08 2.80 4.31 2.24 3.39 6.52 1.50 eV per formula unit, in the order given.
Short version: calculated density = 7.41 10.11 12.21 11.51 13.11 9.23 10.54 9.68 10.08 9.67 8.27 9.84 10.11 5.92 6.54 g/cm3, in the order given.